Entry 1:
MnCuPtRh | GGA-PBE | relaxed

a = 4.278 Å, b = 4.278 Å, c = 4.278 Å
α = 60.00°, β = 60.00°, γ = 60.00°
Fractional positions:
Mn  0.000  0.000  0.000
Rh  0.250  0.250  0.250
Cu  0.500  0.500  0.500
Pt  0.750  0.750  0.750

Summary:
Magnetic moment, μB/f.u.: 3.57
Energy, eV per cell: -27.3
Energy of formation, eV per atom: -0.1671
Energy above the lowest structure with this stoichiometry, eV per formula unit: 0.13
Space group: F-43m, No. 216
ρ, g/cm³: 12.488

***

Entry 2:
Pm2ThAs | GGA-PBE | relaxed

a = 3.909 Å, b = 3.909 Å, c = 9.644 Å
α = 78.31°, β = 78.31°, γ = 60.00°
Fractional positions:
As  0.000  0.000  0.000
Th  0.500  0.500  0.500
Pm  0.269  0.269  0.193
Pm  0.731  0.731  0.807

Summary:
Magnetic moment, μB/f.u.: 0.00
Energy, eV per cell: -23.8
Energy of formation, eV per atom: -0.5598
Space group: R-3m, No. 166
ρ, g/cm³: 7.990

***

Entry 3:
Tb2ZrHg | GGA-PBE | relaxed

a = 3.324 Å, b = 3.324 Å, c = 11.693 Å
α = 81.83°, β = 81.83°, γ = 60.00°
Fractional positions:
Tb  0.092  0.092  0.724
Tb  0.908  0.908  0.276
Hg  0.500  0.500  0.500
Zr  0.000  0.000  0.000

Summary:
Magnetic moment, μB/f.u.: 0.00
Energy, eV per cell: -17.3
Energy of formation, eV per atom: 0.2096
Energy above the lowest structure with this stoichiometry, eV per formula unit: 1.61
Space group: R-3m, No. 166
ρ, g/cm³: 9.171

***

Entry 4:
LiSnAsO5 | GGA-PBE | relaxed

a = 5.715 Å, b = 5.715 Å, c = 7.414 Å
α = 108.64°, β = 108.64°, γ = 95.05°
Fractional positions:
Li  0.311  0.689  0.250
Li  0.689  0.311  0.750
Sn  0.000  0.000  0.500
Sn  0.000  0.000  0.000
As  0.639  0.361  0.250
As  0.361  0.639  0.750
O  0.085  0.915  0.250
O  0.915  0.085  0.750
O  0.759  0.256  0.061
O  0.241  0.744  0.939
O  0.744  0.241  0.439
O  0.256  0.759  0.561
O  0.688  0.687  0.351
O  0.312  0.313  0.649
O  0.313  0.312  0.149
O  0.687  0.688  0.851

Summary:
Magnetic moment, μB/f.u.: 0.00
Energy, eV per cell: -96.0
Energy relative to the elements, uncorrected, eV/atom: -1.579
Space group: C2/c, No. 15
ρ, g/cm³: 4.386

***

Entry 5:
Ac8Os3Pd | GGA-PBE | relaxed

a = 8.908 Å, b = 8.891 Å, c = 8.309 Å
α = 122.42°, β = 90.00°, γ = 120.06°
Fractional positions:
Ac  0.254  0.509  0.764
Ac  0.746  0.491  0.236
Ac  0.268  0.016  0.765
Ac  0.748  0.016  0.765
Ac  0.748  0.495  0.765
Ac  0.252  0.505  0.235
Ac  0.252  0.984  0.235
Ac  0.732  0.984  0.235
Os  0.500  0.000  0.000
Os  0.500  0.500  0.000
Os  0.000  0.500  0.000
Pd  0.000  0.000  0.000

Summary:
Magnetic moment, μB/f.u.: 0.00
Energy, eV per cell: -73.7
Energy of formation, eV per atom: -0.1621
Space group: C2/m, No. 12
ρ, g/cm³: 9.260

***

Entry 6:
CaSiSb2 | GGA-PBE | relaxed

a = 5.283 Å, b = 5.283 Å, c = 5.283 Å
α = 60.00°, β = 60.00°, γ = 60.00°
Fractional positions:
Ca  0.500  0.500  0.500
Sb  0.000  0.000  0.000
Sb  0.250  0.250  0.250
Si  0.750  0.750  0.750

Summary:
Magnetic moment, μB/f.u.: 0.00
Energy, eV per cell: -15.5
Energy relative to the elements, uncorrected, eV/atom: 0.049
Space group: F-43m, No. 216
ρ, g/cm³: 4.964

***

Entry 7:
Li4ZnPt | GGA-PBE | relaxed

a = 4.833 Å, b = 4.833 Å, c = 4.833 Å
α = 60.00°, β = 60.00°, γ = 60.00°
Fractional positions:
Li  0.871  0.376  0.376
Li  0.376  0.376  0.871
Li  0.376  0.871  0.376
Li  0.376  0.376  0.376
Zn  0.000  0.000  0.000
Pt  0.750  0.750  0.750

Summary:
Magnetic moment, μB/f.u.: 0.00
Energy, eV per cell: -16.1
Energy of formation, eV per atom: -0.1864
Energy above the lowest structure with this stoichiometry, eV per formula unit: 1.10
Space group: F-43m, No. 216
ρ, g/cm³: 5.998

***

Entry 8:
Al3SN | GGA-PBE | relaxed

a = 4.610 Å, b = 4.610 Å, c = 4.610 Å
α = 90.00°, β = 90.00°, γ = 90.00°
Fractional positions:
S  0.000  0.000  0.000
Al  0.000  0.500  0.000
Al  0.000  0.000  0.500
Al  0.500  0.000  0.000
N  0.500  0.500  0.500

Summary:
Magnetic moment, μB/f.u.: 0.00
Energy, eV per cell: -16.8
Energy above the lowest structure with this stoichiometry, eV per formula unit: 5.90
Energy relative to the elements, uncorrected, eV/atom: 1.370
Space group: Pm-3m, No. 221
ρ, g/cm³: 2.153

***

Entry 9:
RbHf2BeN | GGA-PBE | relaxed

a = 5.834 Å, b = 5.834 Å, c = 3.112 Å
α = 90.00°, β = 90.00°, γ = 90.00°
Fractional positions:
Be  0.000  0.000  0.000
Hf  0.000  0.500  0.000
Hf  0.500  0.000  0.000
Rb  0.500  0.500  0.500
N  0.000  0.000  0.500

Summary:
Magnetic moment, μB/f.u.: 0.00
Energy, eV per cell: -26.2
Energy relative to the elements, uncorrected, eV/atom: 1.337
Space group: P4/mmm, No. 123
ρ, g/cm³: 7.298

***

Entry 10:
SrCoAs2Ru | GGA-PBE | relaxed

a = 4.007 Å, b = 4.007 Å, c = 6.674 Å
α = 107.47°, β = 107.47°, γ = 90.00°
Fractional positions:
Sr  0.000  0.000  0.000
Co  0.250  0.750  0.500
As  0.641  0.641  0.283
As  0.359  0.359  0.717
Ru  0.750  0.250  0.500

Summary:
Magnetic moment, μB/f.u.: 0.00
Energy, eV per cell: -30.6
Energy of formation, eV per atom: -0.6387
Space group: I-4m2, No. 119
ρ, g/cm³: 6.803

***

Entry 11:
LiPm2Tm3Te6 | GGA-PBE | relaxed

a = 4.335 Å, b = 8.749 Å, c = 9.776 Å
α = 103.28°, β = 102.81°, γ = 90.00°
Fractional positions:
Li  0.500  0.000  0.000
Pm  0.829  0.656  0.657
Pm  0.171  0.344  0.343
Tm  0.500  0.500  0.000
Tm  0.830  0.167  0.660
Tm  0.170  0.833  0.340
Te  0.337  0.926  0.673
Te  0.661  0.593  0.322
Te  0.663  0.074  0.327
Te  0.998  0.245  0.995
Te  0.002  0.755  0.005
Te  0.339  0.407  0.678

Summary:
Magnetic moment, μB/f.u.: 0.00
Energy, eV per cell: -59.3
Energy relative to the elements, uncorrected, eV/atom: -1.300
Space group: C2/m, No. 12
ρ, g/cm³: 7.416

***

Entry 12:
BaCa2ZnO | GGA-PBE | relaxed

a = 4.812 Å, b = 4.812 Å, c = 5.696 Å
α = 90.00°, β = 90.00°, γ = 90.00°
Fractional positions:
Zn  0.500  0.500  0.500
Ca  0.000  0.500  0.000
Ca  0.500  0.000  0.000
Ba  0.000  0.000  0.500
O  0.000  0.000  0.000

Summary:
Magnetic moment, μB/f.u.: 0.00
Energy, eV per cell: -17.7
Energy relative to the elements, uncorrected, eV/atom: -1.115
Space group: P4/mmm, No. 123
ρ, g/cm³: 3.763